TaTePd6 | PBE | relaxed

## Properties
* DOS(E_F): 4.3 states/eV/f.u.
* electronic total energy: -6.13 eV/atom
* crystal system: tetragonal
* M_tot: 0.00 μB per formula unit
* formation energy without anion corrections: -0.361 eV per atom

a = 4.012 Å, b = 4.012 Å, c = 8.213 Å
α = 90.00°, β = 90.00°, γ = 90.00°
Fractional coordinates of all 8 atoms:
1 Ta 0.000 0.000 0.000
2 Te 0.000 0.000 0.500
3 Pd 0.000 0.500 0.229
4 Pd 0.000 0.500 0.771
5 Pd 0.500 0.000 0.229
6 Pd 0.500 0.000 0.771
7 Pd 0.500 0.500 0.000
8 Pd 0.500 0.500 0.500


Ta2Te5Pd | PBE | relaxed

## Properties
* DOS(E_F): 5.3 states/eV/f.u.
* electronic total energy: -5.66 eV/atom
* crystal system: orthorhombic
* M_tot: 0.00 μB per formula unit
* formation energy without anion corrections: -0.083 eV per atom

a = 6.960 Å, b = 6.960 Å, c = 13.449 Å
α = 90.00°, β = 90.00°, γ = 133.95°
Fractional coordinates of all 16 atoms:
1 Ta 0.178 0.822 0.545
2 Ta 0.178 0.822 0.955
3 Ta 0.822 0.178 0.045
4 Ta 0.822 0.178 0.455
5 Te 0.042 0.958 0.109
6 Te 0.042 0.958 0.391
7 Te 0.261 0.739 0.750
8 Te 0.336 0.664 0.095
9 Te 0.336 0.664 0.405
10 Te 0.664 0.336 0.595
11 Te 0.664 0.336 0.905
12 Te 0.739 0.261 0.250
13 Te 0.958 0.042 0.609
14 Te 0.958 0.042 0.891
15 Pd 0.193 0.807 0.250
16 Pd 0.807 0.193 0.750


TaTe2Pd | PBE | relaxed

## Properties
* DOS(E_F): 2.6 states/eV/f.u.
* electronic total energy: -5.69 eV/atom
* crystal system: tetragonal
* M_tot: 0.95 μB per formula unit
* formation energy without anion corrections: 0.141 eV per atom

a = 6.277 Å, b = 6.277 Å, c = 12.030 Å
α = 90.00°, β = 90.00°, γ = 90.00°
Fractional coordinates of all 16 atoms:
1 Ta 0.000 0.000 0.000
2 Ta 0.000 0.500 0.250
3 Ta 0.500 0.000 0.750
4 Ta 0.500 0.500 0.500
5 Te 0.247 0.250 0.625
6 Te 0.250 0.747 0.875
7 Te 0.250 0.753 0.375
8 Te 0.253 0.250 0.125
9 Te 0.747 0.750 0.125
10 Te 0.750 0.247 0.375
11 Te 0.750 0.253 0.875
12 Te 0.753 0.750 0.625
13 Pd 0.000 0.000 0.500
14 Pd 0.000 0.500 0.750
15 Pd 0.500 0.000 0.250
16 Pd 0.500 0.500 0.000


TaTe2Pd | PBE | relaxed

## Properties
* DOS(E_F): 4.5 states/eV/f.u.
* electronic total energy: -5.69 eV/atom
* crystal system: cubic
* M_tot: 0.96 μB per formula unit
* formation energy without anion corrections: 0.140 eV per atom

a = 6.923 Å, b = 6.923 Å, c = 6.923 Å
α = 90.00°, β = 90.00°, γ = 90.00°
Fractional coordinates of all 16 atoms:
1 Ta 0.000 0.000 0.000
2 Ta 0.000 0.500 0.500
3 Ta 0.500 0.000 0.500
4 Ta 0.500 0.500 0.000
5 Te 0.250 0.250 0.250
6 Te 0.250 0.250 0.750
7 Te 0.250 0.750 0.250
8 Te 0.250 0.750 0.750
9 Te 0.750 0.250 0.250
10 Te 0.750 0.250 0.750
11 Te 0.750 0.750 0.250
12 Te 0.750 0.750 0.750
13 Pd 0.000 0.000 0.500
14 Pd 0.000 0.500 0.000
15 Pd 0.500 0.000 0.000
16 Pd 0.500 0.500 0.500


TaTePd3 | PBE | relaxed

## Properties
* DOS(E_F): 5.1 states/eV/f.u.
* electronic total energy: -5.33 eV/atom
* crystal system: cubic
* M_tot: 0.00 μB per formula unit
* formation energy without anion corrections: 0.789 eV per atom

a = 4.897 Å, b = 4.897 Å, c = 4.897 Å
α = 90.00°, β = 90.00°, γ = 90.00°
Fractional coordinates of all 5 atoms:
1 Ta 0.000 0.000 0.000
2 Te 0.500 0.500 0.500
3 Pd 0.000 0.000 0.500
4 Pd 0.000 0.500 0.000
5 Pd 0.500 0.000 0.000


TaTe6Pd2 | PBE | relaxed

## Properties
* DOS(E_F): 6.1 states/eV/f.u.
* electronic total energy: -4.79 eV/atom
* crystal system: monoclinic
* M_tot: 0.00 μB per formula unit
* formation energy without anion corrections: -0.229 eV per atom

a = 8.609 Å, b = 8.609 Å, c = 8.020 Å
α = 103.50°, β = 103.50°, γ = 26.33°
Fractional coordinates of all 9 atoms:
1 Ta 0.000 0.000 0.000
2 Te 0.170 0.170 0.095
3 Te 0.173 0.173 0.568
4 Te 0.492 0.492 0.249
5 Te 0.508 0.508 0.751
6 Te 0.827 0.827 0.432
7 Te 0.830 0.830 0.905
8 Pd 0.338 0.338 0.670
9 Pd 0.662 0.662 0.330


TaTe3Pd | PBE | relaxed

## Properties
* DOS(E_F): 7.8 states/eV/f.u.
* electronic total energy: -4.34 eV/atom
* crystal system: cubic
* M_tot: 0.00 μB per formula unit
* formation energy without anion corrections: 0.949 eV per atom

a = 5.149 Å, b = 5.149 Å, c = 5.149 Å
α = 90.00°, β = 90.00°, γ = 90.00°
Fractional coordinates of all 5 atoms:
1 Ta 0.000 0.000 0.000
2 Te 0.000 0.500 0.500
3 Te 0.500 0.000 0.500
4 Te 0.500 0.500 0.000
5 Pd 0.500 0.500 0.500


Ta3TePd | PBE | relaxed

## Properties
* DOS(E_F): 7.8 states/eV/f.u.
* electronic total energy: -7.51 eV/atom
* crystal system: cubic
* M_tot: 0.00 μB per formula unit
* formation energy without anion corrections: 1.270 eV per atom

a = 4.883 Å, b = 4.883 Å, c = 4.883 Å
α = 90.00°, β = 90.00°, γ = 90.00°
Fractional coordinates of all 5 atoms:
1 Ta 0.000 0.000 0.500
2 Ta 0.000 0.500 0.000
3 Ta 0.500 0.000 0.000
4 Te 0.500 0.500 0.500
5 Pd 0.000 0.000 0.000


Ta2TePd9 | PBE | relaxed

## Properties
* DOS(E_F): 3.9 states/eV/f.u.
* electronic total energy: -6.52 eV/atom
* crystal system: tetragonal
* M_tot: 0.00 μB per formula unit
* formation energy without anion corrections: -0.386 eV per atom

a = 3.989 Å, b = 3.989 Å, c = 12.308 Å
α = 90.00°, β = 90.00°, γ = 90.00°
Fractional coordinates of all 12 atoms:
1 Ta 0.000 0.000 0.168
2 Ta 0.000 0.000 0.832
3 Te 0.000 0.000 0.500
4 Pd 0.000 0.500 0.000
5 Pd 0.000 0.500 0.314
6 Pd 0.000 0.500 0.686
7 Pd 0.500 0.000 0.000
8 Pd 0.500 0.000 0.314
9 Pd 0.500 0.000 0.686
10 Pd 0.500 0.500 0.157
11 Pd 0.500 0.500 0.500
12 Pd 0.500 0.500 0.843


TaTe3Pd | PBE | relaxed

## Properties
* DOS(E_F): 2.7 states/eV/f.u.
* electronic total energy: -5.54 eV/atom
* crystal system: triclinic
* M_tot: 0.00 μB per formula unit
* formation energy without anion corrections: -0.245 eV per atom

a = 6.683 Å, b = 7.014 Å, c = 7.207 Å
α = 64.48°, β = 64.31°, γ = 62.02°
Fractional coordinates of all 10 atoms:
1 Ta 0.175 0.134 0.493
2 Ta 0.825 0.866 0.507
3 Te 0.082 0.756 0.777
4 Te 0.248 0.552 0.304
5 Te 0.409 0.069 0.775
6 Te 0.591 0.931 0.225
7 Te 0.752 0.448 0.696
8 Te 0.918 0.244 0.223
9 Pd 0.360 0.353 0.994
10 Pd 0.640 0.647 0.006


TaTe2Pd | PBE | relaxed

## Properties
* DOS(E_F): 2.6 states/eV/f.u.
* electronic total energy: -5.90 eV/atom
* crystal system: trigonal
* M_tot: 0.00 μB per formula unit
* formation energy without anion corrections: -0.067 eV per atom

a = 3.584 Å, b = 3.584 Å, c = 26.737 Å
α = 90.00°, β = 90.00°, γ = 120.00°
Fractional coordinates of all 12 atoms:
1 Ta 0.000 0.000 0.000
2 Ta 0.333 0.667 0.667
3 Ta 0.667 0.333 0.333
4 Te 0.000 0.000 0.403
5 Te 0.000 0.000 0.597
6 Te 0.333 0.667 0.070
7 Te 0.333 0.667 0.263
8 Te 0.667 0.333 0.737
9 Te 0.667 0.333 0.930
10 Pd 0.000 0.000 0.500
11 Pd 0.333 0.667 0.167
12 Pd 0.667 0.333 0.833


TaTe6Pd2 | PBE | relaxed

## Properties
* DOS(E_F): 5.5 states/eV/f.u.
* electronic total energy: -4.76 eV/atom
* crystal system: trigonal
* M_tot: 0.00 μB per formula unit
* formation energy without anion corrections: -0.197 eV per atom

a = 7.385 Å, b = 7.385 Å, c = 7.385 Å
α = 53.65°, β = 53.65°, γ = 53.65°
Fractional coordinates of all 9 atoms:
1 Ta 0.000 0.000 0.000
2 Te 0.097 0.733 0.428
3 Te 0.253 0.560 0.946
4 Te 0.428 0.097 0.733
5 Te 0.560 0.946 0.253
6 Te 0.733 0.428 0.097
7 Te 0.946 0.253 0.560
8 Pd 0.663 0.663 0.663
9 Pd 0.842 0.842 0.842